# 1
Here is a relaxed structure of Ce4TmTh from the Alexandria database. Energies are from PBE.

CIF file:
```
data_Ce4TmTh
_space_group_name_H-M_alt 'P 1'
_space_group_IT_number 1
_space_group_name_Hall 'P 1'
_cell_length_a 5.5541
_cell_length_b 5.5542
_cell_length_c 6.6455
_cell_angle_alpha 90.00
_cell_angle_beta 90.00
_cell_angle_gamma 56.11
loop_
_atom_site_label
_atom_site_type_symbol
_atom_site_fract_x
_atom_site_fract_y
_atom_site_fract_z
Th1 Th 0.0000 0.0000 0.5000
Tm1 Tm 0.0000 0.0000 0.0000
Ce1 Ce 0.3182 0.3182 0.7465
Ce2 Ce 0.3182 0.3182 0.2534
Ce3 Ce 0.6818 0.6818 0.7466
Ce4 Ce 0.6818 0.6818 0.2535
```

Final energy: -35.11 eV/f.u.
Energy above the most stable polymorph in this dataset: 0.0 kJ/mol of atoms
Calculated volume: 170.17 Å³/cell
N(E_F): 16.20 states/eV per cell
Spin magnetization: 0.0 μB per cell
ΔH_f (0 K): 0.0867 eV per atom

=====

# 2
Here is a relaxed structure of Sr9Ca4Cd11 from the Alexandria database. Energies are from PBE.

CIF file:
```
data_Sr9Ca4Cd11
_space_group_name_H-M_alt 'P 1'
_space_group_IT_number 1
_space_group_name_Hall 'P 1'
_cell_length_a 3.8459
_cell_length_b 14.7118
_cell_length_c 14.7118
_cell_angle_alpha 108.14
_cell_angle_beta 90.00
_cell_angle_gamma 90.00
loop_
_atom_site_label
_atom_site_type_symbol
_atom_site_fract_x
_atom_site_fract_y
_atom_site_fract_z
Cd1 Cd 0.0000 0.0617 0.4177
Cd2 Cd 0.0000 0.6333 0.3667
Cd3 Cd 0.0000 0.7462 0.7462
Cd4 Cd 0.0000 0.2538 0.2538
Cd5 Cd 0.0000 0.8323 0.1677
Cd6 Cd 0.0000 0.0000 0.0000
Cd7 Cd 0.0000 0.4177 0.0617
Cd8 Cd 0.0000 0.1677 0.8323
Cd9 Cd 0.0000 0.3667 0.6333
Cd10 Cd 0.0000 0.5823 0.9383
Cd11 Cd 0.0000 0.9383 0.5823
Sr1 Sr 0.5000 0.9626 0.7927
Sr2 Sr 0.5000 0.1431 0.6284
Sr3 Sr 0.5000 0.2073 0.0374
Sr4 Sr 0.5000 0.6284 0.1431
Sr5 Sr 0.5000 0.5000 0.5000
Sr6 Sr 0.5000 0.3716 0.8569
Sr7 Sr 0.5000 0.7927 0.9626
Sr8 Sr 0.5000 0.0374 0.2073
Sr9 Sr 0.5000 0.8569 0.3716
Ca1 Ca 0.5000 0.5658 0.7516
Ca2 Ca 0.5000 0.7516 0.5658
Ca3 Ca 0.5000 0.4342 0.2484
Ca4 Ca 0.5000 0.2484 0.4342
```

Final energy: -39.74 eV/f.u.
Calculated volume: 791.01 Å³/cell
N(E_F): 21.62 states/eV per cell
Spin magnetization: 0.0 μB per cell
ΔH_f (0 K): -0.2721 eV per atom

=====

# 3
Here is a relaxed structure of LaSb2Au from the Alexandria database. Energies are from PBE.

CIF file:
```
data_LaSb2Au
_space_group_name_H-M_alt 'P 1'
_space_group_IT_number 1
_space_group_name_Hall 'P 1'
_cell_length_a 5.3470
_cell_length_b 5.3470
_cell_length_c 5.3470
_cell_angle_alpha 60.00
_cell_angle_beta 60.00
_cell_angle_gamma 60.00
loop_
_atom_site_label
_atom_site_type_symbol
_atom_site_fract_x
_atom_site_fract_y
_atom_site_fract_z
Sb1 Sb 0.0000 0.0000 0.0000
Sb2 Sb 0.2500 0.2500 0.2500
Au1 Au 0.5000 0.5000 0.5000
La1 La 0.7500 0.7500 0.7500
```

Final energy: -18.30 eV/f.u.
ΔE_f (raw): -463 meV per atom
Calculated volume: 108.10 Å³/cell
N(E_F): 3.83 states/eV per cell
Spin magnetization: 0.0 μB per cell

=====

# 4
Here is a relaxed structure of TcAgSb2 from the Alexandria database. Energies are from PBE.

CIF file:
```
data_TcAgSb2
_space_group_name_H-M_alt 'P 1'
_space_group_IT_number 1
_space_group_name_Hall 'P 1'
_cell_length_a 4.6759
_cell_length_b 4.6759
_cell_length_c 5.6926
_cell_angle_alpha 79.92
_cell_angle_beta 79.92
_cell_angle_gamma 42.67
loop_
_atom_site_label
_atom_site_type_symbol
_atom_site_fract_x
_atom_site_fract_y
_atom_site_fract_z
Ag1 Ag 0.7500 0.7500 0.7500
Tc1 Tc 0.2500 0.2500 0.2500
Sb1 Sb 0.5180 0.5180 0.4701
Sb2 Sb 0.9820 0.9820 0.0299
```

Final energy: -20.35 eV/f.u.
Energy above the most stable polymorph in this dataset: 16.1 kJ/mol of atoms
ΔE_f (raw): 277 meV per atom
Calculated volume: 82.86 Å³/cell
N(E_F): 2.92 states/eV per cell
Spin magnetization: 0.0 μB per cell